(1)
Material: Mg5InPt4
Method: DFT, PBE-GGA
State: relaxed

Cell and atoms, written as CIF:
```
data_Mg5InPt4
_chemical_formula_sum 'Mg5 In1 Pt4'
_symmetry_space_group_name_H-M 'P 4/m m m'
_symmetry_Int_Tables_number 123
_symmetry_space_group_name_Hall '-P 4 2'
_cell_length_a 3.2464
_cell_length_b 3.2464
_cell_length_c 16.4389
_cell_angle_alpha 90.00
_cell_angle_beta 90.00
_cell_angle_gamma 90.00
loop_
_atom_site_label
_atom_site_fract_x
_atom_site_fract_y
_atom_site_fract_z
_atom_site_occupancy
Mg1 0.0000 0.0000 0.0000 1
Mg2 0.0000 0.0000 0.1837 1
Mg3 0.0000 0.0000 0.3658 1
In1 0.5000 0.5000 0.5000 1
Pt1 0.5000 0.5000 0.0921 1
Pt2 0.5000 0.5000 0.2785 1
```

***

(2)
Material: Mg4InPt5
Method: DFT, PBE-GGA
State: relaxed

Cell and atoms, written as CIF:
```
data_Mg4InPt5
_chemical_formula_sum 'Mg4 In1 Pt5'
_symmetry_space_group_name_H-M 'P 4/m m m'
_symmetry_Int_Tables_number 123
_symmetry_space_group_name_Hall '-P 4 2'
_cell_length_a 2.9880
_cell_length_b 2.9880
_cell_length_c 18.2583
_cell_angle_alpha 90.00
_cell_angle_beta 90.00
_cell_angle_gamma 90.00
loop_
_atom_site_label
_atom_site_fract_x
_atom_site_fract_y
_atom_site_fract_z
_atom_site_occupancy
Mg1 0.0000 0.0000 0.0980 1
Mg2 0.0000 0.0000 0.2929 1
In1 0.0000 0.0000 0.5000 1
Pt1 0.5000 0.5000 0.0000 1
Pt2 0.5000 0.5000 0.1959 1
Pt3 0.5000 0.5000 0.3934 1
```

***

(3)
Material: MgInPt2
Method: DFT, PBE-GGA
State: relaxed

Cell and atoms, written as CIF:
```
data_MgInPt2
_chemical_formula_sum 'Mg1 In1 Pt2'
_symmetry_space_group_name_H-M 'P m m 2'
_symmetry_Int_Tables_number 25
_symmetry_space_group_name_Hall 'P 2 -2'
_cell_length_a 2.9684
_cell_length_b 4.2156
_cell_length_c 5.5998
_cell_angle_alpha 90.00
_cell_angle_beta 90.00
_cell_angle_gamma 90.00
loop_
_atom_site_label
_atom_site_fract_x
_atom_site_fract_y
_atom_site_fract_z
_atom_site_occupancy
Mg1 0.0000 0.0000 0.0000 1
In1 0.5000 0.5000 0.6726 1
Pt1 0.0000 0.0000 0.4851 1
Pt2 0.5000 0.5000 0.1645 1
```

***

(4)
Material: Mg8In5Pt
Method: DFT, PBE-GGA
State: relaxed

Cell and atoms, written as CIF:
```
data_Mg8In5Pt
_chemical_formula_sum 'Mg16 In10 Pt2'
_symmetry_space_group_name_H-M 'I -4'
_symmetry_Int_Tables_number 82
_symmetry_space_group_name_Hall 'I -4'
_cell_length_a 9.2815
_cell_length_b 9.2815
_cell_length_c 7.5069
_cell_angle_alpha 90.00
_cell_angle_beta 90.00
_cell_angle_gamma 90.00
loop_
_atom_site_label
_atom_site_fract_x
_atom_site_fract_y
_atom_site_fract_z
_atom_site_occupancy
Mg1 0.0001 0.1667 0.3134 1
Mg2 0.2051 0.7936 0.0003 1
In1 0.9998 0.2859 0.6779 1
In2 0.0000 0.5000 0.2500 1
Pt1 0.0000 0.0000 0.0000 1
```

***

| no. | E (eV/atom) |
| --- | --- |
| 1 | -4.200 |
| 2 | -4.710 |
| 3 | -4.636 |
| 4 | -2.497 |